No. 1
A relaxed structure of BaAgW2, computed with PBE-GGA.

Excess energy over the best structure of this formula in the dataset: 0.624 eV/atom
Space-group type: Cmmm (65)
ΔE_f: 1.2958 eV per atom
E: -50.99 eV/cell
N(E_F): 6.96 states/eV per cell

Cell lengths 3.811, 4.237, 10.300 Å; angles 90.00, 90.00, 90.00 degrees
Fractional positions:
Ba  0.000  0.000  0.000
Ba  0.500  0.500  0.000
Ag  0.000  0.000  0.500
Ag  0.500  0.500  0.500
W  0.000  0.500  0.288
W  0.000  0.500  0.712
W  0.500  0.000  0.288
W  0.500  0.000  0.712

=====

No. 2
A relaxed structure of BaAgW2, computed with PBE-GGA.

Excess energy over the best structure of this formula in the dataset: 0.856 eV/atom
Space-group type: I4/mmm (139)
ΔE_f: 1.5272 eV per atom
E: -49.14 eV/cell
N(E_F): 10.43 states/eV per cell

Cell lengths 4.095, 4.095, 10.642 Å; angles 90.00, 90.00, 90.00 degrees
Fractional positions:
Ba  0.000  0.000  0.000
Ba  0.500  0.500  0.500
Ag  0.000  0.000  0.500
Ag  0.500  0.500  0.000
W  0.000  0.500  0.250
W  0.000  0.500  0.750
W  0.500  0.000  0.250
W  0.500  0.000  0.750

=====

No. 3
A relaxed structure of BaAgW2, computed with PBE-GGA.

Excess energy over the best structure of this formula in the dataset: 0.624 eV/atom
Space-group type: P2/m (10)
ΔE_f: 1.2957 eV per atom
E: -25.50 eV/cell
N(E_F): 3.81 states/eV per cell

Cell lengths 3.025, 5.625, 5.166 Å; angles 90.00, 93.18, 90.00 degrees
Fractional positions:
Ba  0.000  0.000  0.000
Ag  0.500  0.000  0.500
W  0.372  0.500  0.746
W  0.628  0.500  0.254

=====

No. 4
A relaxed structure of BaAgW2, computed with PBE-GGA.

Excess energy over the best structure of this formula in the dataset: 0.625 eV/atom
Space-group type: P4/mmm (123)
ΔE_f: 1.2961 eV per atom
E: -25.50 eV/cell
N(E_F): 3.83 states/eV per cell

Cell lengths 2.852, 2.852, 10.242 Å; angles 90.00, 90.00, 90.00 degrees
Fractional positions:
Ba  0.000  0.000  0.000
Ag  0.000  0.000  0.500
W  0.500  0.500  0.289
W  0.500  0.500  0.711

=====

No. 5
A relaxed structure of BaAg3W, computed with PBE-GGA.

Excess energy over the best structure of this formula in the dataset: 0.000 eV/atom
Space-group type: Pm-3m (221)
ΔE_f: 0.8558 eV per atom
E: -19.15 eV/cell
N(E_F): 5.15 states/eV per cell

Cell lengths 5.240, 5.240, 5.240 Å; angles 90.00, 90.00, 90.00 degrees
Fractional positions:
Ba  0.000  0.000  0.000
Ag  0.000  0.500  0.500
Ag  0.500  0.000  0.500
Ag  0.500  0.500  0.000
W  0.500  0.500  0.500

=====

No. 6
A relaxed structure of BaAgW2, computed with PBE-GGA.

Excess energy over the best structure of this formula in the dataset: 1.217 eV/atom
Space-group type: Fm-3m (225)
ΔE_f: 1.8883 eV per atom
E: -92.51 eV/cell
N(E_F): 58.51 states/eV per cell

Cell lengths 6.832, 6.832, 6.832 Å; angles 90.00, 90.00, 90.00 degrees
Fractional positions:
Ba  0.000  0.000  0.000
Ba  0.000  0.500  0.500
Ba  0.500  0.000  0.500
Ba  0.500  0.500  0.000
Ag  0.000  0.000  0.500
Ag  0.000  0.500  0.000
Ag  0.500  0.000  0.000
Ag  0.500  0.500  0.500
W  0.250  0.250  0.250
W  0.250  0.250  0.750
W  0.250  0.750  0.250
W  0.250  0.750  0.750
W  0.750  0.250  0.250
W  0.750  0.250  0.750
W  0.750  0.750  0.250
W  0.750  0.750  0.750

=====

No. 7
A relaxed structure of BaAgW2, computed with PBE-GGA.

Excess energy over the best structure of this formula in the dataset: 0.588 eV/atom
Space-group type: Pmmm (47)
ΔE_f: 1.2595 eV per atom
E: -25.64 eV/cell
N(E_F): 4.50 states/eV per cell

Cell lengths 2.942, 4.433, 7.324 Å; angles 90.00, 90.00, 90.00 degrees
Fractional positions:
Ba  0.000  0.000  0.000
Ag  0.000  0.000  0.500
W  0.500  0.500  0.339
W  0.500  0.500  0.661

=====

No. 8
A relaxed structure of BaAgW2, computed with PBE-GGA.

Excess energy over the best structure of this formula in the dataset: 0.499 eV/atom
Space-group type: C2/m (12)
ΔE_f: 1.1706 eV per atom
E: -52.00 eV/cell
N(E_F): 7.22 states/eV per cell

Cell lengths 12.546, 2.862, 5.206 Å; angles 90.00, 112.55, 90.00 degrees
Fractional positions:
Ba  0.000  0.000  0.000
Ba  0.500  0.500  0.000
Ag  0.000  0.500  0.500
Ag  0.500  0.000  0.500
W  0.224  0.000  0.723
W  0.276  0.500  0.277
W  0.724  0.500  0.723
W  0.776  0.000  0.277

=====

No. 9
A relaxed structure of BaAg3W, computed with PBE-GGA.

Excess energy over the best structure of this formula in the dataset: 1.307 eV/atom
Space-group type: Pm-3m (221)
ΔE_f: 2.1630 eV per atom
E: -12.61 eV/cell
N(E_F): 4.28 states/eV per cell

Cell lengths 5.819, 5.819, 5.819 Å; angles 90.00, 90.00, 90.00 degrees
Fractional positions:
Ba  0.000  0.000  0.000
Ag  0.000  0.000  0.500
Ag  0.000  0.500  0.000
Ag  0.500  0.000  0.000
W  0.500  0.500  0.500

=====

No. 10
A relaxed structure of BaAgW2, computed with PBE-GGA.

Excess energy over the best structure of this formula in the dataset: 0.595 eV/atom
Space-group type: P4/mmm (123)
ΔE_f: 1.2669 eV per atom
E: -25.61 eV/cell
N(E_F): 4.48 states/eV per cell

Cell lengths 3.625, 3.625, 7.383 Å; angles 90.00, 90.00, 90.00 degrees
Fractional positions:
Ba  0.000  0.000  0.000
Ag  0.000  0.000  0.500
W  0.500  0.500  0.345
W  0.500  0.500  0.655

=====

No. 11
A relaxed structure of BaAgW2, computed with PBE-GGA.

Excess energy over the best structure of this formula in the dataset: 0.775 eV/atom
Space-group type: I4_1/amd (141)
ΔE_f: 1.4462 eV per atom
E: -99.58 eV/cell
N(E_F): 18.89 states/eV per cell

Cell lengths 4.838, 4.838, 20.043 Å; angles 90.00, 90.00, 90.00 degrees
Fractional positions:
Ba  0.000  0.250  0.375
Ba  0.000  0.750  0.625
Ba  0.500  0.250  0.125
Ba  0.500  0.750  0.875
Ag  0.000  0.250  0.875
Ag  0.000  0.750  0.125
Ag  0.500  0.250  0.625
Ag  0.500  0.750  0.375
W  0.000  0.000  0.000
W  0.000  0.500  0.000
W  0.250  0.250  0.750
W  0.250  0.750  0.250
W  0.500  0.000  0.500
W  0.500  0.500  0.500
W  0.750  0.250  0.750
W  0.750  0.750  0.250

=====

No. 12
A relaxed structure of BaAgW2, computed with PBE-GGA.

Excess energy over the best structure of this formula in the dataset: 0.831 eV/atom
Space-group type: P4/mmm (123)
ΔE_f: 1.5029 eV per atom
E: -24.67 eV/cell
N(E_F): 5.69 states/eV per cell

Cell lengths 4.075, 4.075, 5.366 Å; angles 90.00, 90.00, 90.00 degrees
Fractional positions:
Ba  0.000  0.000  0.000
Ag  0.500  0.500  0.000
W  0.000  0.500  0.500
W  0.500  0.000  0.500

=====

No. 13
A relaxed structure of BaAgW2, computed with PBE-GGA.

Excess energy over the best structure of this formula in the dataset: 0.683 eV/atom
Space-group type: R-3m (166)
ΔE_f: 1.3550 eV per atom
E: -75.78 eV/cell
N(E_F): 12.38 states/eV per cell

Cell lengths 2.940, 2.940, 33.418 Å; angles 90.00, 90.00, 120.00 degrees
Fractional positions:
Ba  0.000  0.000  0.000
Ba  0.333  0.667  0.667
Ba  0.667  0.333  0.333
Ag  0.000  0.000  0.500
Ag  0.333  0.667  0.167
Ag  0.667  0.333  0.833
W  0.000  0.000  0.238
W  0.000  0.000  0.762
W  0.333  0.667  0.428
W  0.333  0.667  0.905
W  0.667  0.333  0.095
W  0.667  0.333  0.572

=====

No. 14
A relaxed structure of BaAgW2, computed with PBE-GGA.

Excess energy over the best structure of this formula in the dataset: 0.629 eV/atom
Space-group type: P2/m (10)
ΔE_f: 1.3001 eV per atom
E: -25.48 eV/cell
N(E_F): 3.04 states/eV per cell

Cell lengths 5.003, 3.027, 5.676 Å; angles 90.00, 90.09, 90.00 degrees
Fractional positions:
Ba  0.000  0.000  0.000
Ag  0.500  0.500  0.000
W  0.000  0.500  0.500
W  0.500  0.000  0.500

=====

No. 15
A relaxed structure of BaAg4W, computed with PBE-GGA.

Space-group type: F-43m (216)
ΔE_f: 0.6668 eV per atom
E: -22.28 eV/cell
N(E_F): 4.33 states/eV per cell

Cell lengths 5.756, 5.756, 5.756 Å; angles 60.00, 60.00, 60.00 degrees
Fractional positions:
Ba  0.000  0.000  0.000
Ag  0.376  0.376  0.376
Ag  0.376  0.376  0.871
Ag  0.376  0.871  0.376
Ag  0.871  0.376  0.376
W  0.750  0.750  0.750